Entry 1:
This record from Alexandria describes a relaxed structure of TcMo2As. The functional is PBE.

Summary:
VASP energy: -9.0964 eV per atom
calculated formation energy: 73 meV/atom

Cell: 2.8891 4.3903 5.0760 Å, 90.00 105.25 90.00°
Closest atoms and distances in Å follow each position.
Space group Pm (No. 6)
Inequivalent atoms, fractional coordinates:
Tc: 0.0000 0.0000 0.0000 [1 per cell]  4 Mo 2.52-2.80, 2 As 2.52
Mo: 0.3508 0.5000 0.7707 [1 per cell]  3 As 2.56-2.81, 2 Mo 2.75, 2 Tc 2.80
Mo: 0.5677 0.0000 0.4994 [1 per cell]  2 Tc 2.52-2.63, 2 Mo 2.75, 2 As 2.79
As: 0.0327 0.5000 0.2494 [1 per cell]  2 Tc 2.52, 5 Mo 2.56-2.81


Entry 2:
This record from Alexandria describes a relaxed structure of ReNiSe2Br. The functional is PBE.

Summary:
VASP energy: -4.4822 eV per atom
uncorrected formation energy: 4.5 eV per formula unit

Cell: 4.7637 4.7637 5.4590 Å, 90.00 90.00 90.00°
Closest atoms and distances in Å follow each position.
Space group P4/mmm (No. 123)
Inequivalent atoms, fractional coordinates:
Re: 0.0000 0.0000 0.0000 [1 per cell]  4 Se 2.38
Ni: 0.5000 0.5000 0.5000 [1 per cell]  4 Br 3.37, 8 Se 3.62
Se: 0.0000 0.5000 0.0000 [2 per cell]  2 Re 2.38
Br: 0.0000 0.0000 0.5000 [1 per cell]  2 Re 2.73